K2ZnSbW | PBE | relaxed

```
K2ZnSbW
1.0
-6.603 -1.335 -0.680
-0.019 -2.293 4.684
-1.499 5.933 2.898
Sb Zn K W
1 1 2 1
direct
0.000 0.000 0.000
0.500 0.500 0.500
0.000 0.000 0.500
0.500 0.000 0.000
0.000 0.500 0.000
```

Results
Formation energy without anion corrections (eV per formula unit): 4.54
N(E_F) (states/eV per atom): 0.39
Total magnetic moment (μB/atom): 0.624

***

KZrSb2W | PBE | relaxed

```
KZrSb2W
1.0
-0.515 -1.026 -5.143
5.251 -1.664 -0.193
-1.516 -4.918 1.133
Sb K Zr W
2 1 1 1
direct
0.000 0.000 0.500
0.500 0.000 0.000
0.000 0.500 0.000
0.500 0.500 0.500
0.000 0.000 0.000
```

Results
Formation energy without anion corrections (eV per formula unit): 6.46
N(E_F) (states/eV per atom): 1.00
Total magnetic moment (μB/atom): 0.494